The following is a PBE-GGA calculation of a geometry-optimized TiPt3I structure, from the Alexandria database.

The structure in POSCAR format:
```
TiPt3I
1.0
4.807 0.000 0.000
0.000 4.807 0.000
0.000 0.000 4.807
I Pt Ti
1 3 1
direct
0.500 0.500 0.500 I
0.000 0.500 0.000 Pt
0.000 0.000 0.500 Pt
0.500 0.000 0.000 Pt
0.000 0.000 0.000 Ti
```

Output
Energy = -4.829 eV/atom
Symmetry = Pm-3m (221)
Volume = 22.2 A^3/atom
Magnetization = 0.00 Bohr magnetons per cell
Crystal system = cubic

The following is a PBE-GGA calculation of a geometry-optimized TiPt2I structure, from the Alexandria database.

The structure in POSCAR format:
```
TiPt2I
1.0
0.000 3.346 3.346
3.346 0.000 3.346
3.346 3.346 0.000
I Pt Ti
1 2 1
direct
0.500 0.500 0.500 I
0.250 0.250 0.250 Pt
0.750 0.750 0.750 Pt
0.000 0.000 0.000 Ti
```

Output
Energy = -5.226 eV/atom
Symmetry = Fm-3m (225)
Volume = 18.7 A^3/atom
Magnetization = 0.00 Bohr magnetons per cell
Crystal system = cubic

The following is a PBE-GGA calculation of a geometry-optimized TiPt2I structure, from the Alexandria database.

The structure in POSCAR format:
```
TiPt2I
1.0
-5.996 0.986 2.682
-2.850 -1.624 -5.776
-4.560 -4.630 -0.268
I Pt Ti
2 4 2
direct
0.000 0.000 0.000 I
0.750 0.250 0.500 I
0.587 0.125 0.250 Pt
0.163 0.625 0.250 Pt
0.375 0.413 0.750 Pt
0.875 0.837 0.750 Pt
0.500 0.500 0.000 Ti
0.250 0.750 0.500 Ti
```

Output
Energy = -5.282 eV/atom
Symmetry = I-42d (122)
Volume = 24.8 A^3/atom
Magnetization = 0.00 Bohr magnetons per cell
Crystal system = tetragonal

The following is a PBE-GGA calculation of a geometry-optimized Ti3PtI structure, from the Alexandria database.

The structure in POSCAR format:
```
Ti3PtI
1.0
4.925 0.000 0.000
0.000 4.925 0.000
0.000 0.000 4.925
I Pt Ti
1 1 3
direct
0.500 0.500 0.500 I
0.000 0.000 0.000 Pt
0.000 0.500 0.000 Ti
0.000 0.000 0.500 Ti
0.500 0.000 0.000 Ti
```

Output
Energy = -5.986 eV/atom
Symmetry = Pm-3m (221)
Volume = 23.9 A^3/atom
Magnetization = 2.76 Bohr magnetons per cell
Crystal system = cubic

The following is a PBE-GGA calculation of a geometry-optimized TiPt3I structure, from the Alexandria database.

The structure in POSCAR format:
```
TiPt3I
1.0
-4.608 1.711 0.413
-0.997 -3.492 3.338
1.450 3.035 3.608
I Pt Ti
1 3 1
direct
0.000 0.000 0.000 I
0.000 0.500 0.000 Pt
0.000 0.000 0.500 Pt
0.500 0.000 0.000 Pt
0.500 0.500 0.500 Ti
```

Output
Energy = -4.339 eV/atom
Symmetry = Pm-3m (221)
Volume = 24.0 A^3/atom
Magnetization = 0.16 Bohr magnetons per cell
Crystal system = cubic

The following is a PBE-GGA calculation of a geometry-optimized YTiPtI2 structure, from the Alexandria database.

The structure in POSCAR format:
```
YTiPtI2
1.0
5.491 0.000 0.000
0.000 4.935 0.000
0.000 0.000 5.491
I Y Pt Ti
2 1 1 1
direct
0.000 0.000 0.500 I
0.500 0.000 0.000 I
0.500 0.500 0.500 Y
0.000 0.000 0.000 Pt
0.000 0.500 0.000 Ti
```

Output
Energy = -4.408 eV/atom
Symmetry = P4/mmm (123)
Volume = 29.8 A^3/atom
Magnetization = 2.41 Bohr magnetons per cell
Crystal system = tetragonal

The following is a PBE-GGA calculation of a geometry-optimized Tl3PtI6 structure, from the Alexandria database.

The structure in POSCAR format:
```
Tl3PtI6
1.0
8.331 0.000 0.000
0.000 9.988 -0.210
0.000 2.945 9.547
Tl Pt I
6 2 12
direct
0.590 0.929 0.717 Tl
0.090 0.717 0.929 Tl
0.096 0.429 0.571 Tl
0.596 0.571 0.429 Tl
0.090 0.071 0.283 Tl
0.590 0.283 0.071 Tl
0.003 0.197 0.803 Pt
0.503 0.803 0.197 Pt
0.365 0.591 0.692 I
0.865 0.692 0.591 I
0.997 0.351 0.981 I
0.497 0.981 0.351 I
0.281 0.089 0.911 I
0.701 0.267 0.733 I
0.201 0.733 0.267 I
0.781 0.911 0.089 I
0.997 0.019 0.649 I
0.497 0.649 0.019 I
0.365 0.308 0.409 I
0.865 0.409 0.308 I
```

Output
Energy = -2.631 eV/atom
Symmetry = Cmc2_1 (36)
Volume = 40.0 A^3/atom
Magnetization = 0.00 Bohr magnetons per cell
Crystal system = orthorhombic

The following is a PBE-GGA calculation of a geometry-optimized Tl3PtI6 structure, from the Alexandria database.

The structure in POSCAR format:
```
Tl3PtI6
1.0
-2.132 3.714 -7.174
-2.753 -7.655 -3.145
-10.662 2.498 3.253
Tl Pt I
6 2 12
direct
0.528 0.945 0.780 Tl
0.500 0.500 0.000 Tl
0.472 0.055 0.220 Tl
0.028 0.555 0.280 Tl
0.000 0.000 0.500 Tl
0.972 0.445 0.720 Tl
0.500 0.500 0.500 Pt
0.000 0.000 0.000 Pt
0.719 0.197 0.974 I
0.660 0.257 0.583 I
0.620 0.426 0.281 I
0.380 0.574 0.719 I
0.340 0.743 0.417 I
0.281 0.803 0.026 I
0.219 0.303 0.474 I
0.160 0.243 0.083 I
0.120 0.074 0.781 I
0.880 0.926 0.219 I
0.840 0.757 0.917 I
0.781 0.697 0.526 I
```

Output
Energy = -2.637 eV/atom
Symmetry = P2_1/c (14)
Volume = 41.5 A^3/atom
Magnetization = 0.00 Bohr magnetons per cell
Crystal system = monoclinic

The following is a PBE-GGA calculation of a geometry-optimized Tl3PtI structure, from the Alexandria database.

The structure in POSCAR format:
```
Tl3PtI
1.0
-3.958 0.966 3.613
-2.352 -4.732 -1.312
2.907 -2.514 3.857
I Tl Pt
1 3 1
direct
0.500 0.500 0.500 I
0.000 0.500 0.000 Tl
0.000 0.000 0.500 Tl
0.500 0.000 0.000 Tl
0.000 0.000 0.000 Pt
```

Output
Energy = -3.281 eV/atom
Symmetry = Pm-3m (221)
Volume = 32.3 A^3/atom
Magnetization = 0.00 Bohr magnetons per cell
Crystal system = cubic

The following is a PBE-GGA calculation of a geometry-optimized Tl2Pt2I structure, from the Alexandria database.

The structure in POSCAR format:
```
Tl2Pt2I
1.0
7.719 0.000 0.000
0.000 7.719 0.000
0.000 0.000 3.896
I Tl Pt
2 4 4
direct
0.000 0.000 0.000 I
0.500 0.500 0.000 I
0.163 0.663 0.500 Tl
0.663 0.837 0.500 Tl
0.837 0.337 0.500 Tl
0.337 0.163 0.500 Tl
0.369 0.869 0.000 Pt
0.869 0.631 0.000 Pt
0.631 0.131 0.000 Pt
0.131 0.369 0.000 Pt
```

Output
Energy = -3.569 eV/atom
Symmetry = P4/mbm (127)
Volume = 23.2 A^3/atom
Magnetization = 0.00 Bohr magnetons per cell
Crystal system = tetragonal

The following is a PBE-GGA calculation of a geometry-optimized Tl3PtI structure, from the Alexandria database.

The structure in POSCAR format:
```
Tl3PtI
1.0
-1.613 3.648 -21.495
-1.263 -7.007 -1.095
-3.362 -0.630 7.912
I Tl Pt
4 12 4
direct
0.432 0.753 0.435 I
0.568 0.247 0.565 I
0.068 0.253 0.065 I
0.932 0.747 0.935 I
0.188 0.092 0.732 Tl
0.812 0.908 0.268 Tl
0.312 0.592 0.768 Tl
0.688 0.408 0.232 Tl
0.314 0.290 0.335 Tl
0.686 0.710 0.665 Tl
0.186 0.790 0.165 Tl
0.814 0.210 0.835 Tl
0.379 0.080 0.849 Tl
0.621 0.920 0.151 Tl
0.121 0.580 0.651 Tl
0.879 0.420 0.349 Tl
0.949 0.904 0.267 Pt
0.051 0.096 0.733 Pt
0.551 0.404 0.233 Pt
0.449 0.596 0.767 Pt
```

Output
Energy = -3.079 eV/atom
Symmetry = P2_1/c (14)
Volume = 31.5 A^3/atom
Magnetization = 0.00 Bohr magnetons per cell
Crystal system = monoclinic

The following is a PBE-GGA calculation of a geometry-optimized Tl3PtI structure, from the Alexandria database.

The structure in POSCAR format:
```
Tl3PtI
1.0
5.263 0.000 1.302
0.000 8.464 0.000
-1.671 0.000 6.881
I Tl Pt
2 6 2
direct
0.000 0.250 0.004 I
0.000 0.750 0.996 I
0.498 0.998 0.774 Tl
0.502 0.002 0.226 Tl
0.498 0.502 0.774 Tl
0.502 0.498 0.226 Tl
0.000 0.250 0.503 Tl
0.000 0.750 0.497 Tl
0.500 0.250 0.503 Pt
0.500 0.750 0.497 Pt
```

Output
Energy = -3.164 eV/atom
Symmetry = P2_1/m (11)
Volume = 32.5 A^3/atom
Magnetization = 0.00 Bohr magnetons per cell
Crystal system = monoclinic

The following is a PBE-GGA calculation of a geometry-optimized Tl3PtI structure, from the Alexandria database.

The structure in POSCAR format:
```
Tl3PtI
1.0
3.673 -6.823 0.000
3.673 6.823 0.000
0.000 0.000 6.349
I Tl Pt
2 6 2
direct
0.598 0.402 0.250 I
0.402 0.598 0.750 I
0.568 0.935 0.250 Tl
0.065 0.432 0.250 Tl
0.935 0.568 0.750 Tl
0.432 0.065 0.750 Tl
0.000 0.000 0.000 Tl
0.000 0.000 0.500 Tl
0.166 0.834 0.250 Pt
0.834 0.166 0.750 Pt
```

Output
Energy = -3.006 eV/atom
Symmetry = Cmcm (63)
Volume = 31.8 A^3/atom
Magnetization = 0.00 Bohr magnetons per cell
Crystal system = orthorhombic

The following is a PBE-GGA calculation of a geometry-optimized Tl2PtI5 structure, from the Alexandria database.

The structure in POSCAR format:
```
Tl2PtI5
1.0
8.485 0.012 0.095
0.012 8.483 0.094
-4.200 -4.200 4.688
Tl Pt I
2 1 5
direct
0.320 0.746 0.513 Tl
0.746 0.320 0.513 Tl
0.985 0.985 0.984 Pt
0.788 0.232 0.031 I
0.218 0.218 0.008 I
0.806 0.806 0.069 I
0.232 0.788 0.031 I
0.681 0.681 0.405 I
```

Output
Energy = -2.655 eV/atom
Symmetry = Cm (8)
Volume = 43.0 A^3/atom
Magnetization = 0.95 Bohr magnetons per cell
Crystal system = monoclinic

The following is a PBE-GGA calculation of a geometry-optimized Tl3PtI structure, from the Alexandria database.

The structure in POSCAR format:
```
Tl3PtI
1.0
-0.195 8.070 -20.287
3.124 6.154 -9.286
0.770 -7.634 8.660
I Tl Pt
2 6 2
direct
0.782 0.004 0.996 I
0.218 0.996 0.004 I
0.732 0.253 0.747 Tl
0.268 0.747 0.253 Tl
0.944 0.454 0.546 Tl
0.056 0.546 0.454 Tl
0.662 0.492 0.508 Tl
0.338 0.508 0.492 Tl
0.602 0.959 0.041 Pt
0.398 0.041 0.959 Pt
```

Output
Energy = -3.108 eV/atom
Symmetry = C2/m (12)
Volume = 30.7 A^3/atom
Magnetization = 0.00 Bohr magnetons per cell
Crystal system = monoclinic

The following is a PBE-GGA calculation of a geometry-optimized TlPt2I structure, from the Alexandria database.

The structure in POSCAR format:
```
TlPt2I
1.0
-2.365 -3.326 -2.731
-4.908 -0.160 0.029
-2.527 1.425 -3.963
I Tl Pt
1 1 2
direct
0.000 0.000 0.000 I
0.500 0.500 0.500 Tl
0.250 0.250 0.250 Pt
0.750 0.750 0.750 Pt
```

Output
Energy = -3.540 eV/atom
Symmetry = Fm-3m (225)
Volume = 20.9 A^3/atom
Magnetization = 0.00 Bohr magnetons per cell
Crystal system = cubic

The following is a PBE-GGA calculation of a geometry-optimized Tl3PtI structure, from the Alexandria database.

The structure in POSCAR format:
```
Tl3PtI
1.0
-5.220 10.636 4.280
-7.650 5.550 -3.234
-3.019 -9.522 0.091
I Tl Pt
4 12 4
direct
0.750 0.039 0.539 I
0.250 0.961 0.461 I
0.750 0.625 0.125 I
0.250 0.375 0.875 I
0.337 0.508 0.309 Tl
0.163 0.809 0.008 Tl
0.663 0.492 0.691 Tl
0.837 0.191 0.992 Tl
0.165 0.235 0.100 Tl
0.335 0.600 0.735 Tl
0.835 0.765 0.900 Tl
0.665 0.400 0.265 Tl
0.405 0.205 0.582 Tl
0.095 0.082 0.705 Tl
0.595 0.795 0.418 Tl
0.905 0.918 0.295 Tl
0.083 0.538 0.271 Pt
0.417 0.771 0.038 Pt
0.917 0.462 0.729 Pt
0.583 0.229 0.962 Pt
```

Output
Energy = -3.096 eV/atom
Symmetry = C2/c (15)
Volume = 32.6 A^3/atom
Magnetization = 0.00 Bohr magnetons per cell
Crystal system = monoclinic

The following is a PBE-GGA calculation of a geometry-optimized Tl3PtI structure, from the Alexandria database.

The structure in POSCAR format:
```
Tl3PtI
1.0
5.546 0.000 0.000
0.000 5.546 0.000
2.773 2.773 12.743
I Tl Pt
2 6 2
direct
0.000 0.000 0.000 I
0.250 0.750 0.500 I
0.636 0.882 0.236 Tl
0.118 0.364 0.764 Tl
0.118 0.872 0.764 Tl
0.128 0.882 0.236 Tl
0.334 0.334 0.333 Tl
0.666 0.666 0.667 Tl
0.638 0.138 0.724 Pt
0.862 0.362 0.276 Pt
```

Output
Energy = -2.789 eV/atom
Symmetry = I-4m2 (119)
Volume = 39.2 A^3/atom
Magnetization = 0.00 Bohr magnetons per cell
Crystal system = tetragonal

The following is a PBE-GGA calculation of a geometry-optimized Tl3PtI structure, from the Alexandria database.

The structure in POSCAR format:
```
Tl3PtI
1.0
-0.583 -0.101 4.444
-6.968 -1.184 -0.940
1.734 -10.199 -0.013
I Tl Pt
2 6 2
direct
0.249 0.250 0.374 I
0.751 0.750 0.626 I
0.750 0.497 0.126 Tl
0.250 0.503 0.874 Tl
0.750 0.003 0.126 Tl
0.250 0.997 0.874 Tl
0.749 0.250 0.622 Tl
0.251 0.750 0.378 Tl
0.750 0.250 0.904 Pt
0.250 0.750 0.096 Pt
```

Output
Energy = -3.142 eV/atom
Symmetry = P2_1/m (11)
Volume = 33.1 A^3/atom
Magnetization = 0.00 Bohr magnetons per cell
Crystal system = monoclinic

The following is a PBE-GGA calculation of a geometry-optimized Tl4PtI2 structure, from the Alexandria database.

The structure in POSCAR format:
```
Tl4PtI2
1.0
-5.091 1.102 -1.370
-1.758 -3.193 3.965
-3.427 6.062 7.020
I Tl Pt
2 4 1
direct
0.649 0.649 0.703 I
0.351 0.351 0.297 I
0.844 0.844 0.313 Tl
0.156 0.156 0.687 Tl
0.000 0.500 0.000 Tl
0.500 0.000 0.000 Tl
0.000 0.000 0.000 Pt
```

Output
Energy = -3.033 eV/atom
Symmetry = I4/mmm (139)
Volume = 37.8 A^3/atom
Magnetization = 0.00 Bohr magnetons per cell
Crystal system = tetragonal

The following is a PBE-GGA calculation of a geometry-optimized Tl3PtI structure, from the Alexandria database.

The structure in POSCAR format:
```
Tl3PtI
1.0
-0.112 -3.975 1.354
-4.519 -2.478 -7.651
8.755 0.712 2.817
I Tl Pt
1 3 1
direct
0.500 0.106 0.894 I
0.500 0.161 0.302 Tl
0.500 0.698 0.839 Tl
0.000 0.251 0.749 Tl
0.000 0.411 0.589 Pt
```

Output
Energy = -2.983 eV/atom
Symmetry = Amm2 (38)
Volume = 48.2 A^3/atom
Magnetization = 0.00 Bohr magnetons per cell
Crystal system = orthorhombic

The following is a PBE-GGA calculation of a geometry-optimized Tl2PtI5 structure, from the Alexandria database.

The structure in POSCAR format:
```
Tl2PtI5
1.0
-2.637 4.482 2.574
-1.472 -6.765 3.732
13.819 2.450 9.891
Tl Pt I
4 2 10
direct
0.751 0.502 0.436 Tl
0.751 0.502 0.064 Tl
0.249 0.498 0.564 Tl
0.249 0.498 0.936 Tl
0.750 0.500 0.750 Pt
0.250 0.500 0.250 Pt
0.878 0.756 0.863 I
0.878 0.756 0.637 I
0.378 0.756 0.363 I
0.378 0.756 0.137 I
0.750 0.500 0.250 I
0.250 0.500 0.750 I
0.622 0.244 0.637 I
0.622 0.244 0.863 I
0.122 0.244 0.137 I
0.122 0.244 0.363 I
```

Output
Energy = -2.663 eV/atom
Symmetry = Cmcm (63)
Volume = 45.5 A^3/atom
Magnetization = 0.00 Bohr magnetons per cell
Crystal system = orthorhombic